Computed, not measured: a relaxed structure of NbC at the PBE-GGA level of DFT.

Properties
total magnetization: 0.01 μB per cell
VASP energy: -19.51 eV/f.u.

a b c (Å): 3.1529 3.1529 5.5820
angles (deg): 90.00 90.00 120.00
With the nearest neighbours (Å) after each atom.
Space group P6_3/mmc (No. 194)
One atom of each set of equivalent atoms:
Nb (0.0000, 0.0000, 0.0000)  6 C 2.29
C (0.3333, 0.6667, 0.2500)  6 Nb 2.29

=====

Computed, not measured: a relaxed structure of La2Nd2CF5 at the PBE-GGA level of DFT.

Properties
total magnetization: 0.54 μB per cell
VASP energy: -64.77 eV/f.u.

a b c (Å): 15.4220 3.5789 7.0835
angles (deg): 90.00 115.88 90.00
With the nearest neighbours (Å) after each atom.
Space group C2/m (No. 12)
One atom of each set of equivalent atoms:
La (0.1839, 0.0000, 0.1870)  6 F 2.54-2.62, 1 C 2.55
Nd (0.0026, 0.5000, 0.7607)  4 F 2.41-2.56, 2 C 2.48
C (0.0000, 0.0000, 0.0000)  4 Nd 2.48, 2 La 2.55
F (0.0000, 0.0000, 0.5000)  4 Nd 2.56
F (0.1723, 0.5000, 0.4440)  1 Nd 2.44, 3 La 2.59-2.61
F (0.1762, 0.5000, 0.9106)  1 Nd 2.41, 3 La 2.54-2.62

=====

Computed, not measured: a relaxed structure of NdTaN2O at the PBE-GGA level of DFT.

Properties
total magnetization: 0.01 μB per cell
VASP energy: -47.82 eV/f.u.

a b c (Å): 5.6621 5.6707 9.7806
angles (deg): 73.69 73.61 60.72
With the nearest neighbours (Å) after each atom.
Space group P1 (No. 1)
One atom of each set of equivalent atoms:
Nd (0.0000, 0.0000, 0.0000)  1 O 2.35, 4 N 2.55-2.59
Nd (0.2204, 0.2788, 0.2487)  4 N 2.43-2.51, 1 O 2.45
Nd (0.4995, 0.5028, 0.4922)  3 O 2.37-2.44, 2 N 2.57-2.58
Nd (0.7206, 0.7830, 0.7462)  4 N 2.44-2.56, 1 O 2.48
Ta (0.1284, 0.1316, 0.6288)  3 N 1.96-1.98, 2 O 2.11-2.12
Ta (0.3396, 0.3954, 0.8749)  4 N 1.93-2.07, 1 O 2.09
Ta (0.6034, 0.6573, 0.1231)  5 N 1.96-2.13
Ta (0.8515, 0.9051, 0.3619)  4 N 1.93-2.08, 1 O 2.09
N (0.0231, 0.5273, 0.0235)  2 Ta 1.93-2.13
N (0.1446, 0.3549, 0.7433)  2 Ta 1.96-2.04
N (0.2197, 0.7183, 0.2241)  2 Ta 2.02-2.08
N (0.2566, 0.7905, 0.7716)  2 Ta 1.98-2.06
N (0.4777, 0.9831, 0.9655)  2 Ta 2.01-2.07
N (0.5061, 0.0363, 0.5179)  2 Ta 1.98-2.06
N (0.6474, 0.8456, 0.2475)  2 Ta 1.96-2.01
N (0.7707, 0.2764, 0.2656)  2 Ta 1.93-2.13
O (0.0730, 0.9026, 0.5016)  2 Ta 2.09-2.20
O (0.5997, 0.4181, 0.9810)  2 Ta 2.09-2.21
O (0.7073, 0.2398, 0.7075)  2 Ta 2.11-2.21
O (0.9518, 0.4726, 0.4683)  2 Ta 2.12-2.23

=====

Computed, not measured: a relaxed structure of HfMgAg at the PBE-GGA level of DFT.

Properties
total magnetization: 3.51 μB per cell
VASP energy: -13.39 eV/f.u.

a b c (Å): 6.4566 6.4566 6.4566
angles (deg): 90.00 90.00 90.00
With the nearest neighbours (Å) after each atom.
Space group F-43m (No. 216)
One atom of each set of equivalent atoms:
Hf (0.0000, 0.0000, 0.0000)  4 Ag 2.80
Mg (0.0000, 0.0000, 0.5000)  4 Ag 2.80
Ag (0.2500, 0.2500, 0.2500)  4 Hf 2.80, 4 Mg 2.80

=====

Computed, not measured: a relaxed structure of Lu10Al3Ir at the PBE-GGA level of DFT.

Properties
total magnetization: 0.01 μB per cell
VASP energy: -70.95 eV/f.u.

a b c (Å): 9.3316 9.3316 9.4082
angles (deg): 90.00 90.00 120.00
With the nearest neighbours (Å) after each atom.
Space group P6_3/mmc (No. 194)
One atom of each set of equivalent atoms:
Lu (0.0000, 0.0000, 0.0000)  6 Al 2.97
Lu (0.0815, 0.5407, 0.2500)  2 Al 3.10, 1 Ir 3.35, 4 Lu 3.44
Lu (0.2070, 0.4140, 0.5571)  1 Ir 2.73
Al (0.1124, 0.2247, 0.2500)  6 Lu 2.97-3.27, 2 Al 3.15
Ir (0.3333, 0.6667, 0.7500)  6 Lu 2.73

=====

Computed, not measured: a relaxed structure of AlTlZnH6 at the PBE-GGA level of DFT.

Properties
VASP energy: -25.58 eV/f.u.

a b c (Å): 7.3884 7.3884 7.3884
angles (deg): 90.00 90.00 90.00
With the nearest neighbours (Å) after each atom.
Space group F-43m (No. 216)
One atom of each set of equivalent atoms:
Al (0.0000, 0.0000, 0.0000)  6 H 1.80
Tl (0.2500, 0.2500, 0.7500)  12 H 2.61
Zn (0.0000, 0.0000, 0.5000)  6 H 1.90
H (0.0000, 0.0000, 0.2434)  1 Al 1.80, 1 Zn 1.90